No. 1
! HoPaAsO2 (GGA-PBE, optimized geometry); values from VASP
&SYSTEM
  ibrav = 0, nat = 5, ntyp = 4
/
ATOMIC_SPECIES
Ho 164.93 Ho.upf
Pa 231.04 Pa.upf
As 74.92 As.upf
O 16.00 O.upf
CELL_PARAMETERS angstrom
-1.899 1.899 6.034
1.899 -1.899 6.034
1.899 1.899 -6.034
ATOMIC_POSITIONS angstrom
Ho 0.000 0.000 0.000
Pa 0.000 0.000 8.558
As 0.000 0.000 4.234
O 1.899 0.000 1.271
O 0.000 1.899 1.271
! symmetry	No. 107
! M_tot	0.20	μB per atom
! uncorrected formation energy	-2680	meV per atom



No. 2
! K2UTaS6 (GGA-PBE, optimized geometry); values from VASP
&SYSTEM
  ibrav = 0, nat = 10, ntyp = 4
/
ATOMIC_SPECIES
K 39.10 K.upf
U 238.03 U.upf
Ta 180.95 Ta.upf
S 32.06 S.upf
CELL_PARAMETERS angstrom
7.046 0.000 0.000
0.000 7.046 0.000
0.000 0.000 5.236
ATOMIC_POSITIONS angstrom
K 0.000 3.523 0.000
K 3.523 0.000 0.000
U 0.000 0.000 2.635
Ta 3.523 3.523 2.231
S 0.000 0.000 0.049
S 1.830 1.830 2.683
S 1.830 5.217 2.683
S 3.523 3.523 0.010
S 5.217 1.830 2.683
S 5.217 5.217 2.683
! symmetry	No. 99
! M_tot	0.10	μB per atom
! uncorrected formation energy	-1178	meV per atom



No. 3
! TlZnCl (GGA-PBE, optimized geometry); values from VASP
&SYSTEM
  ibrav = 0, nat = 3, ntyp = 3
/
ATOMIC_SPECIES
Tl 204.38 Tl.upf
Zn 65.41 Zn.upf
Cl 35.45 Cl.upf
CELL_PARAMETERS angstrom
4.338 0.000 0.000
-2.169 3.757 0.000
0.000 0.000 5.356
ATOMIC_POSITIONS angstrom
Tl 0.000 0.000 0.000
Zn 0.000 2.504 1.813
Cl 2.169 1.252 3.273
! distance to the lowest polymorph of the same formula	0	meV per atom
! symmetry	No. 156
! M_tot	0.00	μB per atom
! uncorrected formation energy	-349	meV per atom



No. 4
! ScW5 (GGA-PBE, optimized geometry); values from VASP
&SYSTEM
  ibrav = 0, nat = 6, ntyp = 2
/
ATOMIC_SPECIES
Sc 44.96 Sc.upf
W 183.84 W.upf
CELL_PARAMETERS angstrom
5.401 0.000 0.000
-2.701 4.677 0.000
0.000 0.000 4.451
ATOMIC_POSITIONS angstrom
Sc 0.000 0.000 0.000
W -1.350 2.339 2.225
W 0.000 3.118 0.000
W 2.701 0.000 2.225
W 1.350 2.339 2.225
W 2.701 1.559 0.000
! distance to the lowest polymorph of the same formula	170	meV per atom
! symmetry	No. 191
! M_tot	0.00	μB per atom
! energy of formation from the pure elements	1.85	eV per formula unit



No. 5
! Sc4Co3Os (GGA-PBE, optimized geometry); values from VASP
&SYSTEM
  ibrav = 0, nat = 8, ntyp = 3
/
ATOMIC_SPECIES
Sc 44.96 Sc.upf
Co 58.93 Co.upf
Os 190.23 Os.upf
CELL_PARAMETERS angstrom
3.156 0.000 0.000
0.000 3.156 0.000
0.000 0.000 12.535
ATOMIC_POSITIONS angstrom
Sc 0.000 0.000 1.546
Sc 0.000 0.000 4.662
Sc 0.000 0.000 7.873
Sc 0.000 0.000 10.989
Co 1.578 1.578 0.000
Co 1.578 1.578 3.050
Co 1.578 1.578 9.485
Os 1.578 1.578 6.267
! symmetry	No. 123
! M_tot	0.01	μB per atom
! energy of formation from the pure elements	-2.89	eV per formula unit



No. 6
! ScMoCl2 (GGA-PBE, optimized geometry); values from VASP
&SYSTEM
  ibrav = 0, nat = 4, ntyp = 3
/
ATOMIC_SPECIES
Sc 44.96 Sc.upf
Mo 95.94 Mo.upf
Cl 35.45 Cl.upf
CELL_PARAMETERS angstrom
-1.518 2.809 4.344
1.518 -2.809 4.344
1.518 2.809 -4.344
ATOMIC_POSITIONS angstrom
Sc 0.000 0.000 0.000
Mo 0.000 0.000 4.344
Cl 1.518 0.000 2.373
Cl 0.000 2.809 1.972
! distance to the lowest polymorph of the same formula	604	meV per atom
! symmetry	No. 71
! M_tot	0.00	μB per atom
! uncorrected formation energy	-206	meV per atom



No. 7
! TaTiPb3 (GGA-PBE, optimized geometry); values from VASP
&SYSTEM
  ibrav = 0, nat = 5, ntyp = 3
/
ATOMIC_SPECIES
Ta 180.95 Ta.upf
Ti 47.87 Ti.upf
Pb 207.20 Pb.upf
CELL_PARAMETERS angstrom
5.472 0.000 0.000
0.000 5.472 0.000
0.000 0.000 5.472
ATOMIC_POSITIONS angstrom
Ta 0.000 0.000 0.000
Ti 2.736 2.736 2.736
Pb 0.000 0.000 2.736
Pb 0.000 2.736 0.000
Pb 2.736 0.000 0.000
! distance to the lowest polymorph of the same formula	0	meV per atom
! symmetry	No. 221
! M_tot	0.04	μB per atom
! energy of formation from the pure elements	5.64	eV per formula unit



No. 8
! Tm5Mg (GGA-PBE, optimized geometry); values from VASP
&SYSTEM
  ibrav = 0, nat = 6, ntyp = 2
/
ATOMIC_SPECIES
Tm 168.93 Tm.upf
Mg 24.30 Mg.upf
CELL_PARAMETERS angstrom
5.501 0.000 0.000
0.000 1.754 9.062
0.000 -1.754 9.062
ATOMIC_POSITIONS angstrom
Tm 0.000 0.000 0.000
Tm 0.000 0.000 6.005
Tm 0.000 0.000 12.115
Tm 2.750 0.000 2.072
Tm 2.750 0.000 8.117
Mg 2.750 0.000 14.106
! distance to the lowest polymorph of the same formula	16	meV per atom
! symmetry	No. 38
! M_tot	0.00	μB per atom
! energy of formation from the pure elements	0.06	eV per formula unit



No. 9
! LiCe2PmS4 (GGA-PBE, optimized geometry); values from VASP
&SYSTEM
  ibrav = 0, nat = 8, ntyp = 4
/
ATOMIC_SPECIES
Li 6.94 Li.upf
Ce 140.12 Ce.upf
Pm 145.00 Pm.upf
S 32.06 S.upf
CELL_PARAMETERS angstrom
6.924 0.000 0.000
0.000 4.006 0.000
-2.324 0.000 6.527
ATOMIC_POSITIONS angstrom
Li 0.000 0.000 0.000
Ce 2.300 0.000 3.264
Ce 3.462 2.003 0.000
Pm -1.162 2.003 3.264
S 1.113 2.003 1.579
S -0.065 0.000 4.933
S 4.666 0.000 1.594
S 3.487 2.003 4.948
! symmetry	No. 10
! M_tot	0.28	μB per atom
! uncorrected formation energy	-1886	meV per atom



No. 10
! CoMoH2 (GGA-PBE, optimized geometry); values from VASP
&SYSTEM
  ibrav = 0, nat = 4, ntyp = 3
/
ATOMIC_SPECIES
Co 58.93 Co.upf
Mo 95.94 Mo.upf
H 1.01 H.upf
CELL_PARAMETERS angstrom
1.374 0.793 4.790
-1.374 0.793 4.790
0.000 -1.586 4.790
ATOMIC_POSITIONS angstrom
Co 0.000 0.000 0.000
Mo 0.000 0.000 11.800
H 0.000 0.000 5.588
H 0.000 0.000 8.560
! distance to the lowest polymorph of the same formula	149	meV per atom
! symmetry	No. 160
! M_tot	0.08	μB per atom



No. 11
! ReB3Au (GGA-PBE, optimized geometry); values from VASP
&SYSTEM
  ibrav = 0, nat = 5, ntyp = 3
/
ATOMIC_SPECIES
Re 186.21 Re.upf
B 10.81 B.upf
Au 196.97 Au.upf
CELL_PARAMETERS angstrom
4.140 0.000 0.000
0.000 4.140 0.000
0.000 0.000 4.140
ATOMIC_POSITIONS angstrom
Re 0.000 0.000 0.000
B 0.000 0.000 2.070
B 0.000 2.070 0.000
B 2.070 0.000 0.000
Au 2.070 2.070 2.070
! distance to the lowest polymorph of the same formula	0	meV per atom
! symmetry	No. 221
! M_tot	0.00	μB per atom
! energy of formation from the pure elements	6.22	eV per formula unit



No. 12
! Li4Ge2Se (GGA-PBE, optimized geometry); values from VASP
&SYSTEM
  ibrav = 0, nat = 7, ntyp = 3
/
ATOMIC_SPECIES
Li 6.94 Li.upf
Ge 72.64 Ge.upf
Se 78.96 Se.upf
CELL_PARAMETERS angstrom
-2.661 2.661 6.085
2.661 -2.661 6.085
2.661 2.661 -6.085
ATOMIC_POSITIONS angstrom
Li 2.661 0.000 0.000
Li 0.000 0.000 2.398
Li 0.000 2.661 0.000
Li 0.000 0.000 9.771
Ge 0.000 0.000 4.944
Ge 0.000 0.000 7.225
Se 0.000 0.000 0.000
! symmetry	No. 139
! M_tot	0.00	μB per atom
! uncorrected formation energy	-288	meV per atom